Here is a relaxed structure of NdDyZnOs from Alexandria via LeMat-Bulk. Energies are from PBE-GGA.

a = 4.9951 Å, b = 4.9951 Å, c = 4.9951 Å
α = 60.00°, β = 60.00°, γ = 60.00°
Last column: nearest neighbours and their distance in Å.
Fractional coordinates of all 4 atoms:
Nd (0.7500, 0.7500, 0.7500)  4 Os 3.06, 4 Zn 3.06
Zn (0.0000, 0.0000, 0.0000)  4 Dy 3.06, 4 Nd 3.06
Os (0.5000, 0.5000, 0.5000)  4 Dy 3.06, 4 Nd 3.06
Dy (0.2500, 0.2500, 0.2500)  4 Os 3.06, 4 Zn 3.06

Calculated values
crystal system: cubic
symmetry: F-43m, No. 216
energy of formation: -179 meV per atom